Record 1
VASP calculation (PBE) on a relaxed structure of AgRhPb4.

SG = F-43m
E above lowest polymorph = 662 meV/atom
Formation energy = 0.650 eV per atom
Calculated total energy = -21.1 eV per cell
Crystal system = cubic

Cell: 6.223 6.223 6.223 Å, 60.00 60.00 60.00°
Positions (direct):
1 Ag 0.000 0.000 0.000
2 Rh 0.250 0.250 0.250
3 Pb 0.127 0.624 0.624
4 Pb 0.624 0.127 0.624
5 Pb 0.624 0.624 0.127
6 Pb 0.624 0.624 0.624


Record 2
VASP calculation (PBE) on a relaxed structure of AgRhPb.

SG = P2_1/m
E above lowest polymorph = 0 meV/atom
Formation energy = 0.074 eV per atom
Calculated total energy = -27.4 eV per cell
Crystal system = monoclinic

Cell: 3.501 4.433 7.559 Å, 90.00 103.46 90.00°
Positions (direct):
1 Ag 0.235 0.250 0.471
2 Ag 0.765 0.750 0.529
3 Rh 0.428 0.750 0.854
4 Rh 0.572 0.250 0.146
5 Pb 0.087 0.750 0.175
6 Pb 0.913 0.250 0.825


Record 3
VASP calculation (PBE) on a relaxed structure of AgRhPb2.

SG = Fm-3m
E above lowest polymorph = 95 meV/atom
Formation energy = 0.168 eV per atom
Calculated total energy = -16.9 eV per cell
Crystal system = cubic

Cell: 4.958 4.958 4.958 Å, 60.00 60.00 60.00°
Positions (direct):
1 Ag 0.000 0.000 0.000
2 Rh 0.500 0.500 0.500
3 Pb 0.250 0.250 0.250
4 Pb 0.750 0.750 0.750


Record 4
VASP calculation (PBE) on a relaxed structure of AgRhPb3.

SG = Pm-3m
E above lowest polymorph = 0 meV/atom
Formation energy = 0.261 eV per atom
Calculated total energy = -20.0 eV per cell
Crystal system = cubic

Cell: 5.290 5.290 5.290 Å, 90.00 90.00 90.00°
Positions (direct):
1 Ag 0.000 0.000 0.000
2 Rh 0.500 0.500 0.500
3 Pb 0.000 0.500 0.500
4 Pb 0.500 0.000 0.500
5 Pb 0.500 0.500 0.000


Record 5
VASP calculation (PBE) on a relaxed structure of Ag2Rh2Pb.

SG = P4/mbm
Formation energy = 0.192 eV per atom
Calculated total energy = -46.3 eV per cell
Crystal system = tetragonal

Cell: 6.788 6.788 4.132 Å, 90.00 90.00 90.00°
Positions (direct):
1 Ag 0.159 0.341 0.000
2 Ag 0.341 0.841 0.000
3 Ag 0.659 0.159 0.000
4 Ag 0.841 0.659 0.000
5 Rh 0.134 0.634 0.500
6 Rh 0.366 0.134 0.500
7 Rh 0.634 0.866 0.500
8 Rh 0.866 0.366 0.500
9 Pb 0.000 0.000 0.500
10 Pb 0.500 0.500 0.500


Record 6
VASP calculation (PBE) on a relaxed structure of Ag3RhPb.

SG = Pm-3m
Formation energy = 0.765 eV per atom
Calculated total energy = -15.8 eV per cell
Crystal system = cubic

Cell: 5.049 5.049 5.049 Å, 90.00 90.00 90.00°
Positions (direct):
1 Ag 0.000 0.000 0.500
2 Ag 0.000 0.500 0.000
3 Ag 0.500 0.000 0.000
4 Rh 0.000 0.000 0.000
5 Pb 0.500 0.500 0.500